Entry w
Below is an optimized crystal structure of ZnPt8Rh2, with properties calculated at the PBE level.

The space group is C2/m (No. 12) and the conventional cell measures 11.7110, 6.9332 and 4.6810 Å, with angles of 90.00, 104.73 and 90.00 degrees. The distinct sites, in fractional coordinates, are Zn at (0.0000, 0.0000, 0.0000), Pt at (0.0706, 0.3014, 0.7916), Pt at (0.1440, 0.5000, 0.3338), Pt at (0.2280, 0.0000, 0.0861) and Rh at (0.1202, 0.0000, 0.5165).

Entry x
Below is an optimized crystal structure of ZnPt8Rh2, with properties calculated at the PBE level.

The space group is C2/m (No. 12) and the conventional cell measures 14.1471, 3.9438 and 6.2270 Å, with angles of 90.00, 105.48 and 90.00 degrees. The distinct sites, in fractional coordinates, are Zn at (0.0000, 0.0000, 0.0000), Pt at (0.0455, 0.5000, 0.7289), Pt at (0.0925, 0.0000, 0.4473), Pt at (0.1360, 0.5000, 0.1831), Pt at (0.1811, 0.0000, 0.9145) and Rh at (0.2239, 0.5000, 0.6325).

entry x wins, 348 meV per atom ahead of the next structure.

Entry w
Below is an optimized crystal structure of ZnPtRh4, with properties calculated at the PBE level.

The space group is P4/mmm (No. 123) and the conventional cell measures 2.7524, 2.7524 and 11.3671 Å, with angles of 90.00, 90.00 and 90.00 degrees. The distinct sites, in fractional coordinates, are Zn at (0.0000, 0.0000, 0.0000), Pt at (0.5000, 0.5000, 0.5000), Rh at (0.0000, 0.0000, 0.3251) and Rh at (0.5000, 0.5000, 0.1627).

Entry x
Below is an optimized crystal structure of ZnPtRh4, with properties calculated at the PBE level.

The space group is F-43m (No. 216) and the conventional cell measures 7.2009, 7.2009 and 7.2009 Å, with angles of 90.00, 90.00 and 90.00 degrees. The distinct sites, in fractional coordinates, are Zn at (0.0000, 0.0000, 0.0000), Pt at (0.2500, 0.2500, 0.7500) and Rh at (0.1250, 0.1250, 0.3750).

entry w wins, 387 meV per atom ahead of the next structure.

Entry w
Below is an optimized crystal structure of ZnPt3Rh, with properties calculated at the PBE level.

The space group is P2_1/m (No. 11) and the conventional cell measures 4.7083, 5.0274 and 7.0151 Å, with angles of 90.00, 106.87 and 90.00 degrees. The distinct sites, in fractional coordinates, are Zn at (0.0205, 0.2500, 0.1513), Pt at (0.1561, 0.2500, 0.5521), Pt at (0.2516, 0.7500, 0.2507), Pt at (0.5000, 0.0000, 0.0000) and Rh at (0.4225, 0.7500, 0.6465).

Entry x
Below is an optimized crystal structure of ZnPt3Rh, with properties calculated at the PBE level.

The space group is Pm-3m (No. 221) and the conventional cell measures 4.5613, 4.5613 and 4.5613 Å, with angles of 90.00, 90.00 and 90.00 degrees. The distinct sites, in fractional coordinates, are Zn at (0.0000, 0.0000, 0.0000), Pt at (0.0000, 0.0000, 0.5000) and Rh at (0.5000, 0.5000, 0.5000).

entry w wins, 1074 meV per atom ahead of the next structure.

Entry w
Below is an optimized crystal structure of ZnPt3Rh, with properties calculated at the PBE level.

The space group is Cmcm (No. 63) and the conventional cell measures 3.8891, 19.7930 and 3.8957 Å, with angles of 90.00, 90.00 and 90.00 degrees. The distinct sites, in fractional coordinates, are Zn at (0.0000, 0.1498, 0.2500), Pt at (0.0000, 0.0542, 0.7500), Pt at (0.0000, 0.2483, 0.7500), Pt at (0.0000, 0.4488, 0.7500) and Rh at (0.0000, 0.3486, 0.2500).

Entry x
Below is an optimized crystal structure of ZnPt3Rh, with properties calculated at the PBE level.

The space group is Pm-3m (No. 221) and the conventional cell measures 4.8190, 4.8190 and 4.8190 Å, with angles of 90.00, 90.00 and 90.00 degrees. The distinct sites, in fractional coordinates, are Zn at (0.0000, 0.0000, 0.0000), Pt at (0.0000, 0.5000, 0.5000) and Rh at (0.5000, 0.5000, 0.5000).

entry w wins, 1496 meV per atom ahead of the next structure.

Entry w
Below is an optimized crystal structure of ZnPt6Rh, with properties calculated at the PBE level.

The space group is P4/mmm (No. 123) and the conventional cell measures 3.9299, 3.9299 and 7.9064 Å, with angles of 90.00, 90.00 and 90.00 degrees. The distinct sites, in fractional coordinates, are Zn at (0.0000, 0.0000, 0.0000), Pt at (0.0000, 0.5000, 0.2481), Pt at (0.5000, 0.5000, 0.0000), Pt at (0.5000, 0.5000, 0.5000) and Rh at (0.0000, 0.0000, 0.5000).

Entry x
Below is an optimized crystal structure of ZnPt6Rh, with properties calculated at the PBE level.

The space group is P4/mmm (No. 123) and the conventional cell measures 5.5877, 5.5877 and 3.9179 Å, with angles of 90.00, 90.00 and 90.00 degrees. The distinct sites, in fractional coordinates, are Zn at (0.0000, 0.0000, 0.0000), Pt at (0.0000, 0.5000, 0.0000), Pt at (0.2498, 0.2498, 0.5000) and Rh at (0.5000, 0.5000, 0.0000).

entry w wins, 8 meV per atom ahead of the next structure.

Entry w
Below is an optimized crystal structure of Zn4PtRh, with properties calculated at the PBE level.

The space group is C2/m (No. 12) and the conventional cell measures 8.5005, 3.7110 and 5.7462 Å, with angles of 90.00, 108.21 and 90.00 degrees. The distinct sites, in fractional coordinates, are Zn at (0.1633, 0.0000, 0.3247), Zn at (0.1631, 0.0000, 0.8342), Pt at (0.0000, 0.5000, 0.5000) and Rh at (0.0000, 0.5000, 0.0000).

Entry x
Below is an optimized crystal structure of Zn4PtRh, with properties calculated at the PBE level.

The space group is F-43m (No. 216) and the conventional cell measures 6.9610, 6.9610 and 6.9610 Å, with angles of 90.00, 90.00 and 90.00 degrees. The distinct sites, in fractional coordinates, are Zn at (0.1251, 0.1251, 0.1251), Pt at (0.2500, 0.2500, 0.7500) and Rh at (0.0000, 0.0000, 0.5000).

Entry y
Below is an optimized crystal structure of Zn4PtRh, with properties calculated at the PBE level.

The space group is P4/mmm (No. 123) and the conventional cell measures 4.1566, 4.1566 and 6.0381 Å, with angles of 90.00, 90.00 and 90.00 degrees. The distinct sites, in fractional coordinates, are Zn at (0.0000, 0.5000, 0.2458), Pt at (0.0000, 0.0000, 0.5000) and Rh at (0.5000, 0.5000, 0.0000).

entry w wins, 157 meV per atom ahead of the next structure.

Entry w
Below is an optimized crystal structure of ZnPt2Rh2, with properties calculated at the PBE level.

The space group is C2/m (No. 12) and the conventional cell measures 8.6861, 3.8948 and 6.1415 Å, with angles of 90.00, 134.97 and 90.00 degrees. The distinct sites, in fractional coordinates, are Zn at (0.0000, 0.0000, 0.0000), Pt at (0.1014, 0.5000, 0.3980) and Rh at (0.1948, 0.0000, 0.8008).

Entry x
Below is an optimized crystal structure of ZnPt2Rh2, with properties calculated at the PBE level.

The space group is P4/mbm (No. 127) and the conventional cell measures 6.5602, 6.5602 and 3.7064 Å, with angles of 90.00, 90.00 and 90.00 degrees. The distinct sites, in fractional coordinates, are Zn at (0.0000, 0.0000, 0.0000), Pt at (0.1563, 0.3437, 0.5000) and Rh at (0.1404, 0.6404, 0.0000).

entry w wins, 291 meV per atom ahead of the next structure.

Entry w
Below is an optimized crystal structure of ZnPt6Rh2, with properties calculated at the PBE level.

The space group is C2/m (No. 12) and the conventional cell measures 8.7927, 3.9175 and 8.3317 Å, with angles of 90.00, 108.30 and 90.00 degrees. The distinct sites, in fractional coordinates, are Zn at (0.0000, 0.0000, 0.0000), Pt at (0.0007, 0.0000, 0.6761), Pt at (0.1652, 0.5000, 0.5540), Pt at (0.1695, 0.5000, 0.8916) and Rh at (0.1641, 0.5000, 0.2193).

Entry x
Below is an optimized crystal structure of ZnPt6Rh2, with properties calculated at the PBE level.

The space group is P4_2/mnm (No. 136) and the conventional cell measures 8.3165, 8.3165 and 3.9328 Å, with angles of 90.00, 90.00 and 90.00 degrees. The distinct sites, in fractional coordinates, are Zn at (0.0000, 0.0000, 0.0000), Pt at (0.0007, 0.3278, 0.0000), Pt at (0.1626, 0.1626, 0.5000) and Rh at (0.1655, 0.8345, 0.5000).

entry x wins, 12 meV per atom ahead of the next structure.

Entry w
Below is an optimized crystal structure of ZrZnPtRh, with properties calculated at the PBE level.

The space group is F-43m (No. 216) and the conventional cell measures 6.4001, 6.4001 and 6.4001 Å, with angles of 90.00, 90.00 and 90.00 degrees. The distinct sites, in fractional coordinates, are Zr at (0.0000, 0.0000, 0.0000), Zn at (0.0000, 0.0000, 0.5000), Pt at (0.2500, 0.2500, 0.7500) and Rh at (0.2500, 0.2500, 0.2500).

Entry x
Below is an optimized crystal structure of ZrZnPtRh, with properties calculated at the PBE level.

The space group is I-4m2 (No. 119) and the conventional cell measures 4.1954, 4.1954 and 7.3631 Å, with angles of 90.00, 90.00 and 90.00 degrees. The distinct sites, in fractional coordinates, are Zr at (0.0000, 0.0000, 0.0000), Zn at (0.0000, 0.0000, 0.5000), Pt at (0.0000, 0.5000, 0.7500) and Rh at (0.0000, 0.5000, 0.2500).

entry x wins, 60 meV per atom ahead of the next structure.

Entry w
Below is an optimized crystal structure of Zr7Pt2Rh2, with properties calculated at the PBE level.

The space group is C2/m (No. 12) and the conventional cell measures 9.9412, 7.2317 and 6.7268 Å, with angles of 90.00, 90.09 and 90.00 degrees. The distinct sites, in fractional coordinates, are Zr at (0.0000, 0.0000, 0.0000), Zr at (0.0002, 0.5000, 0.2621), Zr at (0.2502, 0.2502, 0.2720), Pt at (0.0000, 0.1866, 0.5000) and Rh at (0.2151, 0.5000, 0.9997).

Entry x
Below is an optimized crystal structure of Zr7Pt2Rh2, with properties calculated at the PBE level.

The space group is Imm2 (No. 44) and the conventional cell measures 3.4335, 14.3768 and 9.2850 Å, with angles of 90.00, 90.00 and 90.00 degrees. The distinct sites, in fractional coordinates, are Zr at (0.0000, 0.0000, 0.0000), Zr at (0.0000, 0.1169, 0.4087), Zr at (0.0000, 0.3160, 0.6293), Zr at (0.0000, 0.3711, 0.2612), Pt at (0.0000, 0.0000, 0.6472), Pt at (0.0000, 0.5000, 0.7488) and Rh at (0.0000, 0.2339, 0.9301).

entry x wins, 316 meV per atom ahead of the next structure.

Entry w
Below is an optimized crystal structure of ZrPt4Rh, with properties calculated at the PBE level.

The space group is Cmcm (No. 63) and the conventional cell measures 5.5999, 15.4115 and 4.6370 Å, with angles of 90.00, 90.00 and 90.00 degrees. The distinct sites, in fractional coordinates, are Zr at (0.0000, 0.1987, 0.2500), Pt at (0.2455, 0.4590, 0.7500), Pt at (0.2472, 0.3598, 0.2500) and Rh at (0.0000, 0.3040, 0.7500).

Entry x
Below is an optimized crystal structure of ZrPt4Rh, with properties calculated at the PBE level.

The space group is F-43m (No. 216) and the conventional cell measures 7.4099, 7.4099 and 7.4099 Å, with angles of 90.00, 90.00 and 90.00 degrees. The distinct sites, in fractional coordinates, are Zr at (0.0000, 0.0000, 0.0000), Pt at (0.1244, 0.1244, 0.6244) and Rh at (0.2500, 0.2500, 0.2500).

entry w wins, 71 meV per atom ahead of the next structure.